A geometry-optimized Tm2Cr2O7 structure. Source: Alexandria, functional GGA+U.

Unit cell a=7.054 b=7.054 c=7.054 alpha=60.00 beta=60.00 gamma=60.00
Element x y z (fractional)
Cr 0.625 0.125 0.125
Tm 0.625 0.125 0.625
O 0.793 0.207 0.207
O 0.793 0.793 0.207
O 0.457 0.043 0.457
O 0.207 0.793 0.793
O 0.457 0.043 0.043
O 0.500 0.500 0.500
O 0.750 0.750 0.750
O 0.207 0.793 0.207
Cr 0.125 0.125 0.625
Tm 0.625 0.625 0.125
O 0.793 0.207 0.793
O 0.457 0.457 0.043
Cr 0.125 0.125 0.125
Tm 0.625 0.625 0.625
Tm 0.125 0.625 0.625
Cr 0.125 0.625 0.125
O 0.043 0.043 0.457
O 0.043 0.457 0.457
O 0.043 0.457 0.043
O 0.207 0.207 0.793

The uncorrected energy comes out at -7.86 eV per atom. Its density of states at the Fermi level is 0.39 states/eV per atom. As for the crystal system: cubic.